[1]
RbAsPdCl6 | PBE | relaxed

Unit cell a=6.621 b=6.621 c=7.397 alpha=90.00 beta=90.00 gamma=60.00
Site moments in Bohr magnetons follow the coordinates.
Fractional coordinates of all 9 atoms:
Cl: 0.002 0.371 0.306  0.10
Cl: 0.371 0.002 0.694  0.10
Cl: 0.371 0.627 0.306  0.10
Cl: 0.627 0.002 0.306  0.10
Cl: 0.002 0.627 0.694  0.10
Cl: 0.627 0.371 0.694  0.10
As: 0.333 0.333 0.500  0.00
Rb: 0.000 0.000 0.000  0.00
Pd: 0.667 0.667 0.500  1.18

## Properties
Spin magnetization: 2.00 μB/f.u.
Space-group type: P312, No. 149
Volume: 31.20 Å³/atom
Energy relative to the elements, uncorrected: -834.8 meV/atom

=====

[2]
SrAgF | PBE | relaxed

Unit cell a=4.226 b=4.226 c=9.530 alpha=77.19 beta=77.19 gamma=60.00
Fractional coordinates of all 6 atoms:
Sr: 0.772 0.772 0.683
Sr: 0.228 0.228 0.317
Ag: 0.358 0.358 0.925
Ag: 0.642 0.642 0.075
F: 0.864 0.864 0.409
F: 0.136 0.136 0.591

## Properties
Spin magnetization: 0.00 μB/f.u.
Space-group type: R-3m, No. 166
Volume: 23.75 Å³/atom
Energy relative to the elements, uncorrected: -1930.7 meV/atom